[1]
The following is a DFT calculation (GGA-PBE) of CsCoMoPt2 after structural relaxation.

The value obtained for the size of the total moment is 1.389 μB/atom. Its crystal system is tetragonal. The calculation puts the formation energy at 1535 meV per atom. The calculation puts the volume at 118.2 Å³ per cell. For the density of states at the Fermi level, the calculation gives 3.882 states/eV/f.u.

The structure belongs to space group P4/mmm (No. 123); the cell edges are 4.769, 4.769 and 5.198 Å and the angles 90.00°, 90.00° and 90.00°. The inequivalent atoms are Cs at (0.000, 0.000, 0.000), Co at (0.000, 0.000, 0.500), Mo at (0.500, 0.500, 0.000) and Pt at (0.000, 0.500, 0.500).



[2]
The following is a DFT calculation (GGA-PBE) of CsCoReMo2 after structural relaxation.

The value obtained for the size of the total moment is 0.770 μB/atom. Its crystal system is tetragonal. The calculation puts the formation energy at 1752 meV per atom. The calculation puts the volume at 117.3 Å³ per cell. For the density of states at the Fermi level, the calculation gives 8.407 states/eV/f.u.

The structure belongs to space group P4/mmm (No. 123); the cell edges are 4.927, 4.927 and 4.831 Å and the angles 90.00°, 90.00° and 90.00°. The inequivalent atoms are Cs at (0.000, 0.000, 0.000), Co at (0.500, 0.500, 0.000), Re at (0.500, 0.500, 0.500) and Mo at (0.000, 0.500, 0.500).



[3]
The following is a DFT calculation (GGA-PBE) of CsCoN3 after structural relaxation.

As for the energy relative to the elements, uncorrected: 336.2 kJ per mole of atoms. The value obtained for the size of the total moment is 0.796 μB/atom. Its crystal system is cubic. The calculation puts the volume at 78.9 Å³ per cell. For the density of states at the Fermi level, the calculation gives 5.391 states/eV/f.u.

The structure belongs to space group Pm-3m (No. 221); the cell edges are 4.290, 4.290 and 4.290 Å and the angles 90.00°, 90.00° and 90.00°. The inequivalent atoms are Cs at (0.000, 0.000, 0.000), Co at (0.500, 0.500, 0.500) and N at (0.000, 0.000, 0.500).



[4]
The following is a DFT calculation (GGA-PBE) of Cs3CoN after structural relaxation.

As for the energy relative to the elements, uncorrected: 139.0 kJ per mole of atoms. The value obtained for the size of the total moment is 0.311 μB/atom. Its crystal system is cubic. The calculation puts the volume at 199.3 Å³ per cell. For the density of states at the Fermi level, the calculation gives 7.714 states/eV/f.u.

The structure belongs to space group Pm-3m (No. 221); the cell edges are 5.841, 5.841 and 5.841 Å and the angles 90.00°, 90.00° and 90.00°. The inequivalent atoms are Cs at (0.000, 0.000, 0.500), Co at (0.000, 0.000, 0.000) and N at (0.500, 0.500, 0.500).



[5]
The following is a DFT calculation (GGA-PBE) of CsCo3N after structural relaxation.

As for the energy relative to the elements, uncorrected: 326.9 kJ per mole of atoms. The value obtained for the size of the total moment is 1.012 μB/atom. Its crystal system is cubic. The calculation puts the volume at 106.1 Å³ per cell. For the density of states at the Fermi level, the calculation gives 9.324 states/eV/f.u. The value obtained for the offset from the most stable computed form is 2329 meV per atom.

The structure belongs to space group Pm-3m (No. 221); the cell edges are 4.734, 4.734 and 4.734 Å and the angles 90.00°, 90.00° and 90.00°. The inequivalent atoms are Cs at (0.000, 0.000, 0.000), Co at (0.000, 0.000, 0.500) and N at (0.500, 0.500, 0.500).



[6]
The following is a DFT calculation (GGA-PBE) of CsCo3N after structural relaxation.

As for the energy relative to the elements, uncorrected: 102.2 kJ per mole of atoms. The value obtained for the size of the total moment is 1.000 μB/atom. Its crystal system is cubic. The calculation puts the volume at 71.0 Å³ per cell. For the density of states at the Fermi level, the calculation gives 6.246 states/eV/f.u. The value obtained for the offset from the most stable computed form is 0 meV per atom.

The structure belongs to space group Pm-3m (No. 221); the cell edges are 4.140, 4.140 and 4.140 Å and the angles 90.00°, 90.00° and 90.00°. The inequivalent atoms are Cs at (0.000, 0.000, 0.000), Co at (0.000, 0.500, 0.500) and N at (0.500, 0.500, 0.500).